(P)
Below is AcLaPd after structural relaxation, with properties calculated at the GGA-PBE level.

SG = I4mm
M_tot = 0.0 μB per formula unit
Theoretical density = 8.2 Mg/m³
Crystal system = tetragonal

```
AcLaPd
1.0
-1.8966 1.8966 6.6183
1.8966 -1.8966 6.6183
1.8966 1.8966 -6.6183
Ac La Pd
1 1 1
direct
0.0000 0.0000 0.0000
0.7317 0.7317 0.0000
0.3551 0.3551 0.0000
```

(Q)
Below is AcLaPd after structural relaxation, with properties calculated at the GGA-PBE level.

SG = P3m1
M_tot = 0.0 μB per formula unit
Theoretical density = 8.3 Mg/m³
Crystal system = trigonal

```
AcLaPd
1.0
4.9301 0.0000 0.0000
-2.4650 4.2696 0.0000
0.0000 0.0000 4.5068
Ac La Pd
1 1 1
direct
0.0000 0.0000 0.0000
0.6667 0.3333 0.5350
0.3333 0.6667 0.3352
```

(R)
Below is AcLaPd after structural relaxation, with properties calculated at the GGA-PBE level.

SG = R3m
M_tot = 0.0 μB per formula unit
Theoretical density = 7.6 Mg/m³
Crystal system = trigonal

```
AcLaPd
1.0
2.0513 1.1843 7.1204
-2.0513 1.1843 7.1204
0.0000 -2.3686 7.1204
Ac La Pd
1 1 1
direct
0.0000 0.0000 0.0000
0.1791 0.1791 0.1791
0.7618 0.7618 0.7618
```

Verdict on stability: (Q) comes out at the bottom.

(P)
Below is AcLaPd3 after structural relaxation, with properties calculated at the GGA-PBE level.

SG = Cmcm
M_tot = 0.0 μB per formula unit
Theoretical density = 9.0 Mg/m³
Crystal system = orthorhombic

```
AcLaPd3
1.0
2.0328 -13.8168 0.0000
2.0328 13.8168 0.0000
0.0000 0.0000 4.4836
Ac La Pd
2 2 6
direct
0.0715 0.9285 0.7500
0.9285 0.0715 0.2500
0.2029 0.7971 0.2500
0.7971 0.2029 0.7500
0.3140 0.6860 0.2500
0.3760 0.6240 0.7500
0.4730 0.5270 0.7500
0.5270 0.4730 0.2500
0.6240 0.3760 0.2500
0.6860 0.3140 0.7500
```

(Q)
Below is AcLaPd3 after structural relaxation, with properties calculated at the GGA-PBE level.

SG = Cmcm
M_tot = 0.0 μB per formula unit
Theoretical density = 9.0 Mg/m³
Crystal system = orthorhombic

```
AcLaPd3
1.0
2.0246 -13.9791 0.0000
2.0246 13.9791 0.0000
0.0000 0.0000 4.4779
Ac La Pd
2 2 6
direct
0.2001 0.7999 0.7500
0.7999 0.2001 0.2500
0.0683 0.9317 0.2500
0.9317 0.0683 0.7500
0.3196 0.6804 0.7500
0.3810 0.6190 0.2500
0.4750 0.5250 0.2500
0.5250 0.4750 0.7500
0.6190 0.3810 0.7500
0.6804 0.3196 0.2500
```

Verdict on stability: (Q) comes out at the bottom.

(P)
Below is AcLaPdRh after structural relaxation, with properties calculated at the GGA-PBE level.

SG = F-43m
M_tot = 0.0 μB per formula unit
Theoretical density = 9.5 Mg/m³
Crystal system = cubic

```
AcLaPdRh
1.0
0.0000 3.6909 3.6909
3.6909 0.0000 3.6909
3.6909 3.6909 0.0000
Ac La Pd Rh
1 1 1 1
direct
0.0000 0.0000 0.0000
0.5000 0.5000 0.5000
0.2500 0.2500 0.2500
0.7500 0.7500 0.7500
```

(Q)
Below is AcLaPdRh after structural relaxation, with properties calculated at the GGA-PBE level.

SG = Amm2
M_tot = 0.0 μB per formula unit
Theoretical density = 9.2 Mg/m³
Crystal system = orthorhombic

```
AcLaPdRh
1.0
4.4200 0.0000 0.0000
0.0000 2.0483 5.7586
0.0000 -2.0483 5.7586
Ac La Pd Rh
1 1 1 1
direct
0.0000 0.0000 0.0000
0.5000 0.7269 0.7269
0.5000 0.4417 0.4417
0.0000 0.2639 0.2639
```

Verdict on stability: (P) comes out at the bottom.

(P)
Below is AcLaPm2 after structural relaxation, with properties calculated at the GGA-PBE level.

SG = P4/mmm
M_tot = 0.0 μB per formula unit
Theoretical density = 7.3 Mg/m³
Crystal system = tetragonal

```
AcLaPm2
1.0
3.7970 0.0000 0.0000
0.0000 3.7970 0.0000
0.0000 0.0000 10.4111
Ac La Pm
1 1 2
direct
0.0000 0.0000 0.0000
0.0000 0.0000 0.5000
0.5000 0.5000 0.2583
0.5000 0.5000 0.7417
```

(Q)
Below is AcLaPm2 after structural relaxation, with properties calculated at the GGA-PBE level.

SG = P4/mmm
M_tot = 0.0 μB per formula unit
Theoretical density = 7.3 Mg/m³
Crystal system = tetragonal

```
AcLaPm2
1.0
5.3347 0.0000 0.0000
0.0000 5.3347 0.0000
0.0000 0.0000 5.2422
Ac La Pm
1 1 2
direct
0.0000 0.0000 0.0000
0.5000 0.5000 0.0000
0.0000 0.5000 0.5000
0.5000 0.0000 0.5000
```

Verdict on stability: (P) comes out at the bottom.